A plane-wave DFT calculation with PBE was carried out for a geometry-optimized Y2TlSi structure. Values from VASP.

```
&SYSTEM
  ibrav = 0, nat = 4, ntyp = 3
/
ATOMIC_SPECIES
Y 88.91 Y.upf
Tl 204.38 Tl.upf
Si 28.09 Si.upf
CELL_PARAMETERS angstrom
3.359 0.000 0.000
0.000 3.359 0.000
0.000 0.000 8.642
ATOMIC_POSITIONS angstrom
Y 0.000 0.000 1.873
Y 0.000 0.000 6.769
Tl 1.680 1.680 4.321
Si 1.680 1.680 0.000
```

## Properties
Space group: P4/mmm (123)
Size of the total moment (μB per cell): 0.358

***

A plane-wave DFT calculation with PBE was carried out for a geometry-optimized YTl2Si2 structure. Values from VASP.

```
&SYSTEM
  ibrav = 0, nat = 10, ntyp = 3
/
ATOMIC_SPECIES
Y 88.91 Y.upf
Tl 204.38 Tl.upf
Si 28.09 Si.upf
CELL_PARAMETERS angstrom
8.132 0.000 0.000
0.000 8.132 0.000
0.000 0.000 3.592
ATOMIC_POSITIONS angstrom
Y 0.000 0.000 0.000
Y 4.066 4.066 0.000
Tl 1.077 2.989 0.000
Tl 2.989 7.055 0.000
Tl 5.143 1.077 0.000
Tl 7.055 5.143 0.000
Si 1.358 5.424 1.796
Si 2.708 1.358 1.796
Si 5.424 6.775 1.796
Si 6.775 2.708 1.796
```

## Properties
Space group: P4/mbm (127)
Size of the total moment (μB per cell): 0.000

***

A plane-wave DFT calculation with PBE was carried out for a geometry-optimized YTl4Si structure. Values from VASP.

```
&SYSTEM
  ibrav = 0, nat = 6, ntyp = 3
/
ATOMIC_SPECIES
Y 88.91 Y.upf
Tl 204.38 Tl.upf
Si 28.09 Si.upf
CELL_PARAMETERS angstrom
0.000 4.388 4.388
4.388 0.000 4.388
4.388 4.388 0.000
ATOMIC_POSITIONS angstrom
Y 0.000 0.000 0.000
Tl 3.294 3.294 3.294
Tl 5.482 5.482 3.294
Tl 5.482 3.294 5.482
Tl 3.294 5.482 5.482
Si 6.582 6.582 6.582
```

## Properties
Space group: F-43m (216)
Size of the total moment (μB per cell): 0.000

***

A plane-wave DFT calculation with PBE was carried out for a geometry-optimized YTlSi2 structure. Values from VASP.

```
&SYSTEM
  ibrav = 0, nat = 16, ntyp = 3
/
ATOMIC_SPECIES
Y 88.91 Y.upf
Tl 204.38 Tl.upf
Si 28.09 Si.upf
CELL_PARAMETERS angstrom
7.127 0.000 0.000
0.000 7.127 0.000
0.000 0.000 7.127
ATOMIC_POSITIONS angstrom
Y 0.000 0.000 0.000
Y 0.000 3.564 3.564
Y 3.564 0.000 3.564
Y 3.564 3.564 0.000
Tl 0.000 0.000 3.564
Tl 0.000 3.564 0.000
Tl 3.564 0.000 0.000
Tl 3.564 3.564 3.564
Si 1.782 1.782 1.782
Si 1.782 1.782 5.345
Si 1.782 5.345 1.782
Si 1.782 5.345 5.345
Si 5.345 1.782 1.782
Si 5.345 1.782 5.345
Si 5.345 5.345 1.782
Si 5.345 5.345 5.345
```

## Properties
Space group: Fm-3m (225)
Size of the total moment (μB per cell): 0.000

***

A plane-wave DFT calculation with PBE was carried out for a geometry-optimized Y2Tl2Si structure. Values from VASP.

```
&SYSTEM
  ibrav = 0, nat = 10, ntyp = 3
/
ATOMIC_SPECIES
Y 88.91 Y.upf
Tl 204.38 Tl.upf
Si 28.09 Si.upf
CELL_PARAMETERS angstrom
7.582 0.000 0.000
0.000 7.582 0.000
0.000 0.000 4.890
ATOMIC_POSITIONS angstrom
Y 1.252 2.539 0.000
Y 2.539 6.330 0.000
Y 5.043 1.252 0.000
Y 6.330 5.043 0.000
Tl 1.122 4.913 2.445
Tl 2.669 1.122 2.445
Tl 4.913 6.460 2.445
Tl 6.460 2.669 2.445
Si 0.000 0.000 0.000
Si 3.791 3.791 0.000
```

## Properties
Space group: P4/mbm (127)
Size of the total moment (μB per cell): 0.000

***

A plane-wave DFT calculation with PBE was carried out for a geometry-optimized Y2TlSi structure. Values from VASP.

```
&SYSTEM
  ibrav = 0, nat = 8, ntyp = 3
/
ATOMIC_SPECIES
Y 88.91 Y.upf
Tl 204.38 Tl.upf
Si 28.09 Si.upf
CELL_PARAMETERS angstrom
4.328 0.000 0.000
0.000 4.328 0.000
0.000 0.000 10.716
ATOMIC_POSITIONS angstrom
Y 0.000 0.000 0.000
Y 0.000 2.164 2.679
Y 2.164 0.000 8.037
Y 2.164 2.164 5.358
Tl 0.000 0.000 5.358
Tl 2.164 2.164 0.000
Si 0.000 2.164 8.037
Si 2.164 0.000 2.679
```

## Properties
Space group: I-4m2 (119)
Size of the total moment (μB per cell): 0.000

***

A plane-wave DFT calculation with PBE was carried out for a geometry-optimized Y5Tl2Si structure. Values from VASP.

```
&SYSTEM
  ibrav = 0, nat = 16, ntyp = 3
/
ATOMIC_SPECIES
Y 88.91 Y.upf
Tl 204.38 Tl.upf
Si 28.09 Si.upf
CELL_PARAMETERS angstrom
7.070 0.000 0.000
0.000 12.667 0.000
0.000 0.000 4.915
ATOMIC_POSITIONS angstrom
Y 0.000 0.000 0.000
Y 0.987 3.586 0.000
Y 1.201 7.425 2.457
Y 2.334 1.091 2.457
Y 2.548 9.920 0.000
Y 3.535 6.334 0.000
Y 4.522 2.747 0.000
Y 4.735 11.576 2.457
Y 5.869 5.243 2.457
Y 6.083 9.081 0.000
Tl 0.690 10.625 2.457
Tl 2.845 4.292 2.457
Tl 4.225 8.375 2.457
Tl 6.380 2.042 2.457
Si 0.000 6.334 0.000
Si 3.535 0.000 0.000
```

## Properties
Space group: Pbam (55)
Size of the total moment (μB per cell): 0.000

***

A plane-wave DFT calculation with PBE was carried out for a geometry-optimized YTlSi structure. Values from VASP.

```
&SYSTEM
  ibrav = 0, nat = 3, ntyp = 3
/
ATOMIC_SPECIES
Y 88.91 Y.upf
Tl 204.38 Tl.upf
Si 28.09 Si.upf
CELL_PARAMETERS angstrom
3.407 0.000 0.000
-1.703 2.950 0.000
0.000 0.000 7.400
ATOMIC_POSITIONS angstrom
Y 0.000 0.000 0.000
Tl 0.000 1.967 4.608
Si 1.703 0.983 2.301
```

## Properties
Space group: P3m1 (156)
Size of the total moment (μB per cell): 0.000

***

A plane-wave DFT calculation with PBE was carried out for a geometry-optimized YTlSi2 structure. Values from VASP.

```
&SYSTEM
  ibrav = 0, nat = 8, ntyp = 3
/
ATOMIC_SPECIES
Y 88.91 Y.upf
Tl 204.38 Tl.upf
Si 28.09 Si.upf
CELL_PARAMETERS angstrom
3.727 0.000 0.000
0.000 4.723 0.000
0.000 0.000 9.937
ATOMIC_POSITIONS angstrom
Y 0.000 0.000 0.000
Y 1.863 2.361 4.969
Tl 0.000 2.361 2.170
Tl 1.863 0.000 7.138
Si 0.000 0.000 4.253
Si 0.000 2.361 7.629
Si 1.863 0.000 2.660
Si 1.863 2.361 9.222
```

## Properties
Space group: Imm2 (44)
Size of the total moment (μB per cell): 0.000

***

A plane-wave DFT calculation with PBE was carried out for a geometry-optimized YTlSi structure. Values from VASP.

```
&SYSTEM
  ibrav = 0, nat = 12, ntyp = 3
/
ATOMIC_SPECIES
Y 88.91 Y.upf
Tl 204.38 Tl.upf
Si 28.09 Si.upf
CELL_PARAMETERS angstrom
6.971 0.000 0.000
0.000 6.971 0.000
0.000 0.000 6.971
ATOMIC_POSITIONS angstrom
Y 0.000 0.000 0.000
Y 0.000 3.486 3.486
Y 3.486 0.000 3.486
Y 3.486 3.486 0.000
Tl 1.743 1.743 1.743
Tl 1.743 5.229 5.229
Tl 5.229 1.743 5.229
Tl 5.229 5.229 1.743
Si 1.743 1.743 5.229
Si 1.743 5.229 1.743
Si 5.229 1.743 1.743
Si 5.229 5.229 5.229
```

## Properties
Space group: F-43m (216)
Size of the total moment (μB per cell): 0.000

***

A plane-wave DFT calculation with PBE was carried out for a geometry-optimized Y3TlSi structure. Values from VASP.

```
&SYSTEM
  ibrav = 0, nat = 5, ntyp = 3
/
ATOMIC_SPECIES
Y 88.91 Y.upf
Tl 204.38 Tl.upf
Si 28.09 Si.upf
CELL_PARAMETERS angstrom
5.375 0.000 0.000
0.000 5.375 0.000
0.000 0.000 5.375
ATOMIC_POSITIONS angstrom
Y 0.000 0.000 2.687
Y 0.000 2.687 0.000
Y 2.687 0.000 0.000
Tl 2.687 2.687 2.687
Si 0.000 0.000 0.000
```

## Properties
Space group: Pm-3m (221)
Size of the total moment (μB per cell): 0.000

***

A plane-wave DFT calculation with PBE was carried out for a geometry-optimized Y2TlSi structure. Values from VASP.

```
&SYSTEM
  ibrav = 0, nat = 8, ntyp = 3
/
ATOMIC_SPECIES
Y 88.91 Y.upf
Tl 204.38 Tl.upf
Si 28.09 Si.upf
CELL_PARAMETERS angstrom
4.618 0.000 0.000
0.000 5.547 0.000
0.000 0.000 8.271
ATOMIC_POSITIONS angstrom
Y 0.000 0.000 0.000
Y 0.000 2.773 2.665
Y 2.309 0.000 2.665
Y 2.309 2.773 0.000
Tl 0.000 0.000 4.899
Tl 2.309 2.773 4.899
Si 0.000 2.773 6.536
Si 2.309 0.000 6.536
```

## Properties
Space group: Cmm2 (35)
Size of the total moment (μB per cell): 0.001

***

Number 1: E_form (uncorrected) -432 meV per atom, VASP energy -5.611 eV/atom. Number 2: E_form (uncorrected) 300 meV per atom, VASP energy -4.109 eV/atom. Number 3: E_form (uncorrected) 353 meV per atom, VASP energy -3.206 eV/atom. Number 4: E_form (uncorrected) 199 meV per atom, VASP energy -4.721 eV/atom. Number 5: E_form (uncorrected) -198 meV per atom, VASP energy -4.815 eV/atom. Number 6: E_form (uncorrected) -360 meV per atom, VASP energy -5.540 eV/atom. Number 7: E_form (uncorrected) -439 meV per atom, VASP energy -5.749 eV/atom. Number 8: E_form (uncorrected) 167 meV per atom, VASP energy -4.584 eV/atom. Number 9: E_form (uncorrected) -146 meV per atom, VASP energy -5.065 eV/atom. Number 10: E_form (uncorrected) 58 meV per atom, VASP energy -4.693 eV/atom. Number 11: E_form (uncorrected) -286 meV per atom, VASP energy -5.723 eV/atom. Number 12: E_form (uncorrected) -56 meV per atom, VASP energy -5.235 eV/atom.